No. 1
Computed, not measured: an optimized crystal structure of NdOsN3 at the GGA-PBE level of DFT.

The uncorrected energy is -42.0 eV/f.u. The energy relative to the elements, uncorrected is -0.20 eV/atom.

The structure belongs to space group Cmcm (No. 63); the cell edges are 3.517, 13.176 and 6.341 Å and the angles 90.00°, 90.00° and 90.00°. The inequivalent atoms are Nd at (0.000, 0.179, 0.250), Os at (0.000, 0.427, 0.250), N at (0.000, 0.012, 0.750) and N at (0.000, 0.341, 0.023).


No. 2
Computed, not measured: an optimized crystal structure of Pm2NdOsN4 at the GGA-PBE level of DFT.

The uncorrected energy is -65.4 eV/f.u. The energy relative to the elements, uncorrected is -0.82 eV/atom.

The structure belongs to space group Cmcm (No. 63); the cell edges are 3.490, 11.988 and 12.057 Å and the angles 90.00°, 90.00° and 90.00°. The inequivalent atoms are Pm at (0.000, 0.132, 0.041), Nd at (0.000, 0.379, 0.250), Os at (0.000, 0.354, 0.750), N at (0.000, 0.068, 0.250), N at (0.000, 0.229, 0.635) and N at (0.000, 0.500, 0.000).


No. 3
Computed, not measured: an optimized crystal structure of PmNd2OsN4 at the GGA-PBE level of DFT.

The uncorrected energy is -65.1 eV/f.u. The energy relative to the elements, uncorrected is -0.78 eV/atom.

The structure belongs to space group Cmcm (No. 63); the cell edges are 3.490, 12.037 and 12.173 Å and the angles 90.00°, 90.00° and 90.00°. The inequivalent atoms are Pm at (0.000, 0.124, 0.250), Nd at (0.000, 0.368, 0.041), Os at (0.000, 0.146, 0.750), N at (0.000, 0.000, 0.000), N at (0.000, 0.273, 0.637) and N at (0.000, 0.431, 0.250).


No. 4
Computed, not measured: an optimized crystal structure of Nd2ReOsN6 at the GGA-PBE level of DFT.

The uncorrected energy is -88.0 eV/f.u. The energy relative to the elements, uncorrected is -0.48 eV/atom.

The structure belongs to space group P2_1/c (No. 14); the cell edges are 5.543, 5.589 and 9.621 Å and the angles 90.00°, 125.15° and 90.00°. The inequivalent atoms are Nd at (0.247, 0.035, 0.250), Re at (0.500, 0.000, 0.000), Os at (0.000, 0.000, 0.500), N at (0.183, 0.212, 0.971), N at (0.259, 0.713, 0.971) and N at (0.307, 0.008, 0.751).


No. 5
Computed, not measured: an optimized crystal structure of NdSiOsN at the GGA-PBE level of DFT.

The uncorrected energy is -33.5 eV/f.u. The energy relative to the elements, uncorrected is -0.94 eV/atom.

The structure belongs to space group P4/nmm (No. 129, origin choice 2); the cell edges are 4.007, 4.007 and 8.195 Å and the angles 90.00°, 90.00° and 90.00°. The inequivalent atoms are Nd at (0.250, 0.250, 0.160), Si at (0.250, 0.250, 0.657), Os at (0.250, 0.750, 0.500) and N at (0.250, 0.250, 0.871).


No. 6
Computed, not measured: an optimized crystal structure of Nd2SmOsN4 at the GGA-PBE level of DFT.

The uncorrected energy is -65.0 eV/f.u. The energy relative to the elements, uncorrected is -0.78 eV/atom.

The structure belongs to space group Cmcm (No. 63); the cell edges are 3.482, 12.015 and 12.175 Å and the angles 90.00°, 90.00° and 90.00°. The inequivalent atoms are Nd at (0.000, 0.132, 0.041), Sm at (0.000, 0.375, 0.250), Os at (0.000, 0.354, 0.750), N at (0.000, 0.068, 0.250), N at (0.000, 0.227, 0.638) and N at (0.000, 0.500, 0.000).


Please write out number 4 again, unchanged.
Computed, not measured: an optimized crystal structure of Nd2ReOsN6 at the GGA-PBE level of DFT.

The uncorrected energy is -88.0 eV/f.u. The energy relative to the elements, uncorrected is -0.48 eV/atom.

The structure belongs to space group P2_1/c (No. 14); the cell edges are 5.543, 5.589 and 9.621 Å and the angles 90.00°, 125.15° and 90.00°. The inequivalent atoms are Nd at (0.247, 0.035, 0.250), Re at (0.500, 0.000, 0.000), Os at (0.000, 0.000, 0.500), N at (0.183, 0.212, 0.971), N at (0.259, 0.713, 0.971) and N at (0.307, 0.008, 0.751).


- Among the records above, which one has the lowest energy relative to the elements, uncorrected?
  NdSiOsN


- energy relative to the elements, uncorrected of number 4 (Nd2ReOsN6)?
  -0.48 eV/atom